1.
Density functional theory data (PBE-GGA) for a geometry-optimized BiPI3 structure.

Cell lengths 5.5112, 5.5112, 5.5112 Å; angles 90.00, 90.00, 90.00 degrees
Last column: nearest neighbours and their distance in Å.
Fractional positions:
Bi1 0.0000 0.0000 0.0000  12 I 3.90
P1 0.5000 0.5000 0.5000  6 I 2.76
I1 0.0000 0.5000 0.5000  2 P 2.76
I2 0.5000 0.0000 0.5000  2 P 2.76
I3 0.5000 0.5000 0.0000  2 P 2.76

As for the space group: No. 221. For the total magnetization, the calculation gives 0.0 μB/cell. Its volume is 167.39 Å³/f.u.

---

2.
Density functional theory data (PBE-GGA) for a geometry-optimized BiPI3 structure.

Cell lengths 6.1663, 6.1663, 6.1663 Å; angles 90.00, 90.00, 90.00 degrees
Last column: nearest neighbours and their distance in Å.
Fractional positions:
Bi1 0.0000 0.0000 0.0000  6 I 3.08
P1 0.5000 0.5000 0.5000  12 I 4.36
I1 0.0000 0.0000 0.5000  2 Bi 3.08
I2 0.0000 0.5000 0.0000  2 Bi 3.08
I3 0.5000 0.0000 0.0000  2 Bi 3.08

As for the space group: No. 221. For the total magnetization, the calculation gives 3.0 μB/cell. Its volume is 234.46 Å³/f.u.

---

It is 1 that is most stable; the runner-up trails by 7.5 kJ/mol of atoms.

---

1.
Density functional theory data (PBE-GGA) for a geometry-optimized BiSbPI2 structure.

Cell lengths 6.1216, 6.1216, 6.2265 Å; angles 90.00, 90.00, 90.00 degrees
Last column: nearest neighbours and their distance in Å.
Fractional positions:
Bi1 0.0000 0.0000 0.0000  4 I 3.06, 2 Sb 3.11
Sb1 0.0000 0.0000 0.5000  2 Bi 3.11
P1 0.5000 0.5000 0.5000  4 Sb 4.33, 8 I 4.37
I1 0.0000 0.5000 0.0000  2 Bi 3.06
I2 0.5000 0.0000 0.0000  2 Bi 3.06

As for the space group: No. 123. For the total magnetization, the calculation gives 1.1 μB/cell. Its volume is 233.33 Å³/f.u.

---

2.
Density functional theory data (PBE-GGA) for a geometry-optimized BiSbPI2 structure.

Cell lengths 5.3147, 5.3147, 5.6319 Å; angles 90.00, 90.00, 90.00 degrees
Last column: nearest neighbours and their distance in Å.
Fractional positions:
Bi1 0.0000 0.0000 0.0000  4 Sb 3.76, 8 I 3.87
Sb1 0.5000 0.5000 0.0000  2 P 2.82
P1 0.5000 0.5000 0.5000  4 I 2.66, 2 Sb 2.82
I1 0.0000 0.5000 0.5000  2 P 2.66
I2 0.5000 0.0000 0.5000  2 P 2.66

As for the space group: No. 123. For the total magnetization, the calculation gives 0.0 μB/cell. Its volume is 159.08 Å³/f.u.

---

It is 2 that is most stable; the runner-up trails by 36.0 kJ/mol of atoms.

---

1.
Density functional theory data (PBE-GGA) for a geometry-optimized BiSb2PI structure.

Cell lengths 5.3828, 5.3828, 5.2236 Å; angles 90.00, 90.00, 90.00 degrees
Last column: nearest neighbours and their distance in Å.
Fractional positions:
Bi1 0.0000 0.0000 0.0000  8 Sb 3.75, 4 I 3.81
Sb1 0.0000 0.5000 0.5000  2 P 2.69
Sb2 0.5000 0.0000 0.5000  2 P 2.69
P1 0.5000 0.5000 0.5000  2 I 2.61, 4 Sb 2.69
I1 0.5000 0.5000 0.0000  2 P 2.61

As for the space group: No. 123. For the total magnetization, the calculation gives 0.0 μB/cell. Its volume is 151.35 Å³/f.u.

---

2.
Density functional theory data (PBE-GGA) for a geometry-optimized BiSb2PI structure.

Cell lengths 6.0059, 6.0059, 6.0843 Å; angles 90.00, 90.00, 90.00 degrees
Last column: nearest neighbours and their distance in Å.
Fractional positions:
Bi1 0.0000 0.0000 0.0000  4 Sb 3.00, 2 I 3.04
Sb1 0.0000 0.5000 0.0000  2 Bi 3.00
Sb2 0.5000 0.0000 0.0000  2 Bi 3.00
P1 0.5000 0.5000 0.5000  4 I 4.25, 8 Sb 4.27
I1 0.0000 0.0000 0.5000  2 Bi 3.04

As for the space group: No. 123. For the total magnetization, the calculation gives 0.2 μB/cell. Its volume is 219.47 Å³/f.u.

---

It is 1 that is most stable; the runner-up trails by 64.3 kJ/mol of atoms.

---

1.
Density functional theory data (PBE-GGA) for a geometry-optimized Pa2BiI structure.

Cell lengths 3.8041, 3.8041, 7.6044 Å; angles 90.00, 90.00, 90.00 degrees
Last column: nearest neighbours and their distance in Å.
Fractional positions:
Pa1 0.0000 0.0000 0.2434  4 Bi 3.27, 4 I 3.32
Pa2 0.0000 0.0000 0.7566  4 Bi 3.27, 4 I 3.32
Bi1 0.5000 0.5000 0.0000  8 Pa 3.27
I1 0.5000 0.5000 0.5000  8 Pa 3.32

As for the space group: No. 123. For the total magnetization, the calculation gives 2.2 μB/cell. Its volume is 110.04 Å³/f.u.

---

2.
Density functional theory data (PBE-GGA) for a geometry-optimized Pa2BiI structure.

Cell lengths 5.3731, 5.3731, 5.3731 Å; angles 60.00, 60.00, 60.00 degrees
Last column: nearest neighbours and their distance in Å.
Fractional positions:
Pa1 0.2500 0.2500 0.2500  4 I 3.29, 4 Bi 3.29
Pa2 0.7500 0.7500 0.7500  4 Bi 3.29, 4 I 3.29
Bi1 0.0000 0.0000 0.0000  8 Pa 3.29
I1 0.5000 0.5000 0.5000  8 Pa 3.29

As for the space group: No. 225. For the total magnetization, the calculation gives 2.4 μB/cell. Its volume is 109.69 Å³/f.u.

---

It is 2 that is most stable; the runner-up trails by 2.3 kJ/mol of atoms.

---

1.
Density functional theory data (PBE-GGA) for a geometry-optimized BiPb2I structure.

Cell lengths 3.9880, 3.9880, 8.5711 Å; angles 90.00, 90.00, 90.00 degrees
Last column: nearest neighbours and their distance in Å.
Fractional positions:
Bi1 0.0000 0.0000 0.0000  8 Pb 3.43
Pb1 0.5000 0.5000 0.2276  4 Bi 3.43, 4 I 3.66
Pb2 0.5000 0.5000 0.7724  4 Bi 3.43, 4 I 3.66
I1 0.0000 0.0000 0.5000  8 Pb 3.66, 4 I 3.99

As for the space group: No. 123. For the total magnetization, the calculation gives 0.0 μB/cell. Its volume is 136.32 Å³/f.u.

---

2.
Density functional theory data (PBE-GGA) for a geometry-optimized BiPb2I structure.

Cell lengths 7.6738, 7.6738, 7.6738 Å; angles 112.47, 112.47, 103.62 degrees
Last column: nearest neighbours and their distance in Å.
Fractional positions:
Bi1 0.0000 0.0000 0.0000  4 Pb 3.11
Bi2 0.7500 0.2500 0.5000  4 Pb 3.11
Pb1 0.1007 0.1250 0.4757  2 Bi 3.11, 2 I 3.38
Pb2 0.3750 0.8993 0.0243  2 Bi 3.11, 2 I 3.38
Pb3 0.6493 0.6250 0.5243  2 Bi 3.11, 2 I 3.38
Pb4 0.8750 0.3507 0.9757  2 Bi 3.11, 2 I 3.38
I1 0.2500 0.7500 0.5000  4 Pb 3.38
I2 0.5000 0.5000 0.0000  4 Pb 3.38

As for the space group: No. 122. For the total magnetization, the calculation gives 0.0 μB/cell. Its volume is 172.59 Å³/f.u.

---

It is 1 that is most stable; the runner-up trails by 15.1 kJ/mol of atoms.

---

1.
Density functional theory data (PBE-GGA) for a geometry-optimized BiPbI structure.

Cell lengths 11.2101, 11.2101, 9.6690 Å; angles 90.43, 90.43, 24.85 degrees
Last column: nearest neighbours and their distance in Å.
Fractional positions:
Bi1 0.1373 0.1373 0.0989  1 I 2.99, 2 Pb 3.24
Bi2 0.1605 0.1605 0.6423  4 Pb 3.20-3.22, 1 I 3.56
Bi3 0.8395 0.8395 0.3577  4 Pb 3.20-3.22, 1 I 3.56
Bi4 0.8627 0.8627 0.9011  1 I 2.99, 2 Pb 3.24
Pb1 0.2440 0.2440 0.3696  4 Bi 3.20-3.49, 4 Pb 3.40-3.50
Pb2 0.2645 0.2645 0.8780  4 Bi 3.21-3.52, 4 Pb 3.40-3.44
Pb3 0.7355 0.7355 0.1220  4 Bi 3.21-3.52, 4 Pb 3.40-3.44
Pb4 0.7560 0.7560 0.6304  4 Bi 3.20-3.49, 4 Pb 3.40-3.50
I1 0.0598 0.0598 0.3521  1 Bi 2.99
I2 0.4145 0.4145 0.1186  4 Bi 3.39-3.73
I3 0.5855 0.5855 0.8814  4 Bi 3.39-3.73
I4 0.9402 0.9402 0.6479  1 Bi 2.99

As for the space group: No. 12. For the total magnetization, the calculation gives 0.0 μB/cell. Its volume is 127.66 Å³/f.u.

---

2.
Density functional theory data (PBE-GGA) for a geometry-optimized BiPbI structure.

Cell lengths 6.6213, 4.3417, 9.0335 Å; angles 90.00, 105.91, 90.00 degrees
Last column: nearest neighbours and their distance in Å.
Fractional positions:
Bi1 0.1303 0.2500 0.4391  2 Bi 3.15, 3 Pb 3.30-3.37
Bi2 0.8697 0.7500 0.5609  2 Bi 3.15, 3 Pb 3.30-3.37
Pb1 0.1715 0.2500 0.8112  3 Bi 3.30-3.37, 4 I 3.31-3.52
Pb2 0.8285 0.7500 0.1888  3 Bi 3.30-3.37, 4 I 3.31-3.52
I1 0.3001 0.7500 0.1307  4 Pb 3.31-3.52
I2 0.6999 0.2500 0.8693  4 Pb 3.31-3.52

As for the space group: No. 11. For the total magnetization, the calculation gives 0.0 μB/cell. Its volume is 124.87 Å³/f.u.

---

It is 2 that is most stable; the runner-up trails by 14.5 kJ/mol of atoms.